DFT (PBE-GGA) results for crystalline Ti2Tl at its relaxed geometry.

Results
total moment = 0.0 μB/cell
SG = Fd-3m
energy of formation = 276 meV per atom

a b c (Å): 5.490 5.490 5.490
angles (deg): 60.00 60.00 60.00
Sites, in units of the cell vectors:
Ti (0.000, 0.000, 0.000)
Ti (0.000, 0.000, 0.500)
Ti (0.000, 0.500, 0.000)
Ti (0.500, 0.000, 0.000)
Tl (0.375, 0.375, 0.375)
Tl (0.625, 0.625, 0.625)